No. 1
Below is an optimized crystal structure of SrCoIr2I, with properties calculated at the PBE-GGA level.

a = 5.012 Å, b = 5.012 Å, c = 4.671 Å
α = 90.00°, β = 90.00°, γ = 90.00°
Space group P4/mmm (No. 123)
Symmetry-distinct sites (fractional):
Sr 0.000 0.000 0.000 [1 per cell]
Co 0.500 0.500 0.000 [1 per cell]
Ir 0.000 0.500 0.500 [2 per cell]
I 0.500 0.500 0.500 [1 per cell]

theoretical density: 9.31 g/cm³
E: -23.1 eV for the cell shown


No. 2
Below is an optimized crystal structure of CoTeIrI2, with properties calculated at the PBE-GGA level.

a = 5.568 Å, b = 5.568 Å, c = 5.069 Å
α = 90.00°, β = 90.00°, γ = 90.00°
Space group P4/mmm (No. 123)
Symmetry-distinct sites (fractional):
Co 0.000 0.000 0.000 [1 per cell]
Te 0.500 0.500 0.000 [1 per cell]
Ir 0.500 0.500 0.500 [1 per cell]
I 0.000 0.500 0.500 [2 per cell]

theoretical density: 6.68 g/cm³
polymorph energy (0 for the lowest one): 0 meV/atom